# Bi2AsS6

A relaxed structure of Bi2AsS6 (PBE, the Alexandria database).

Cell and atoms, written as CIF:
```
data_Bi2AsS6
_cell_length_a 6.248
_cell_length_b 6.248
_cell_length_c 11.962
_cell_angle_alpha 90.00
_cell_angle_beta 90.00
_cell_angle_gamma 90.00
_space_group_name_H-M_alt 'P 1'
_space_group_IT_number 1
loop_
_space_group_symop_operation_xyz
'x,y,z'
loop_
_atom_site_label
_atom_site_type_symbol
_atom_site_fract_x
_atom_site_fract_y
_atom_site_fract_z
S1 S 0.224 0.776 0.500
As1 As 0.000 0.000 0.000
S2 S 0.276 0.276 0.000
S3 S 0.315 0.315 0.350
S4 S 0.185 0.815 0.150
S5 S 0.724 0.724 0.000
S6 S 0.185 0.815 0.850
As2 As 0.500 0.500 0.500
S7 S 0.685 0.685 0.650
Bi1 Bi 0.500 0.500 0.167
Bi2 Bi 0.500 0.500 0.833
Bi3 Bi 0.000 0.000 0.667
S8 S 0.776 0.224 0.500
S9 S 0.815 0.185 0.850
Bi4 Bi 0.000 0.000 0.333
S10 S 0.685 0.685 0.350
S11 S 0.815 0.185 0.150
S12 S 0.315 0.315 0.650
```

Properties
**Total DFT energy (no corrections)**: -71.810 eV/cell
**Formation energy (no corrections)**: 1.27 eV/f.u.
**Space-group type**: P4_2/mnm, No. 136


# Bi3AsS2

A relaxed structure of Bi3AsS2 (PBE, the Alexandria database).

Cell and atoms, written as CIF:
```
data_Bi3AsS2
_cell_length_a 8.059
_cell_length_b 6.917
_cell_length_c 6.917
_cell_angle_alpha 121.11
_cell_angle_beta 98.45
_cell_angle_gamma 98.45
_space_group_name_H-M_alt 'P 1'
_space_group_IT_number 1
loop_
_space_group_symop_operation_xyz
'x,y,z'
loop_
_atom_site_label
_atom_site_type_symbol
_atom_site_fract_x
_atom_site_fract_y
_atom_site_fract_z
Bi1 Bi 0.994 0.829 0.663
Bi2 Bi 0.006 0.171 0.337
As1 As 0.250 0.581 0.419
S1 S 0.250 0.911 0.089
Bi3 Bi 0.494 0.663 0.829
S2 S 0.750 0.089 0.911
Bi4 Bi 0.500 0.000 0.500
Bi5 Bi 0.506 0.337 0.171
Bi6 Bi 0.000 0.500 0.000
S3 S 0.250 0.262 0.738
S4 S 0.750 0.738 0.262
As2 As 0.750 0.419 0.581
```

Properties
**Total DFT energy (no corrections)**: -50.081 eV/cell
**Formation energy (no corrections)**: -0.49 eV/f.u.
**Space-group type**: C2/c, No. 15


# BiAsS2

A relaxed structure of BiAsS2 (PBE, the Alexandria database).

Cell and atoms, written as CIF:
```
data_BiAsS2
_cell_length_a 4.863
_cell_length_b 4.863
_cell_length_c 4.863
_cell_angle_alpha 60.00
_cell_angle_beta 60.00
_cell_angle_gamma 60.00
_space_group_name_H-M_alt 'P 1'
_space_group_IT_number 1
loop_
_space_group_symop_operation_xyz
'x,y,z'
loop_
_atom_site_label
_atom_site_type_symbol
_atom_site_fract_x
_atom_site_fract_y
_atom_site_fract_z
S1 S 0.250 0.250 0.250
As1 As 0.000 0.000 0.000
S2 S 0.750 0.750 0.750
Bi1 Bi 0.500 0.500 0.500
```

Properties
**Total DFT energy (no corrections)**: -15.711 eV/cell
**Formation energy (no corrections)**: 1.07 eV/f.u.
**Space-group type**: Fm-3m, No. 225
**Distance to the lowest polymorph of the same formula**: 305 meV per atom


# BiAs2S2

A relaxed structure of BiAs2S2 (PBE, the Alexandria database).

Cell and atoms, written as CIF:
```
data_BiAs2S2
_cell_length_a 8.838
_cell_length_b 8.838
_cell_length_c 3.328
_cell_angle_alpha 90.00
_cell_angle_beta 90.00
_cell_angle_gamma 90.00
_space_group_name_H-M_alt 'P 1'
_space_group_IT_number 1
loop_
_space_group_symop_operation_xyz
'x,y,z'
loop_
_atom_site_label
_atom_site_type_symbol
_atom_site_fract_x
_atom_site_fract_y
_atom_site_fract_z
S1 S 0.368 0.132 0.500
As1 As 0.742 0.242 0.000
Bi1 Bi 0.500 0.500 0.000
S2 S 0.132 0.632 0.500
As2 As 0.242 0.258 0.000
S3 S 0.632 0.868 0.500
As3 As 0.758 0.742 0.000
Bi2 Bi 0.000 0.000 0.000
S4 S 0.868 0.368 0.500
As4 As 0.258 0.758 0.000
```

Properties
**Total DFT energy (no corrections)**: -42.598 eV/cell
**Formation energy (no corrections)**: 0.14 eV/f.u.
**Space-group type**: P4/mbm, No. 127


# BiAsS2

A relaxed structure of BiAsS2 (PBE, the Alexandria database).

Cell and atoms, written as CIF:
```
data_BiAsS2
_cell_length_a 8.799
_cell_length_b 8.799
_cell_length_c 8.799
_cell_angle_alpha 23.87
_cell_angle_beta 23.87
_cell_angle_gamma 23.87
_space_group_name_H-M_alt 'P 1'
_space_group_IT_number 1
loop_
_space_group_symop_operation_xyz
'x,y,z'
loop_
_atom_site_label
_atom_site_type_symbol
_atom_site_fract_x
_atom_site_fract_y
_atom_site_fract_z
As1 As 0.500 0.500 0.500
S1 S 0.109 0.109 0.109
S2 S 0.891 0.891 0.891
Bi1 Bi 0.000 0.000 0.000
```

Properties
**Total DFT energy (no corrections)**: -16.931 eV/cell
**Formation energy (no corrections)**: -0.15 eV/f.u.
**Space-group type**: R-3m, No. 166
**Distance to the lowest polymorph of the same formula**: 0 meV per atom


# BiAsS2

A relaxed structure of BiAsS2 (PBE, the Alexandria database).

Cell and atoms, written as CIF:
```
data_BiAsS2
_cell_length_a 7.351
_cell_length_b 7.351
_cell_length_c 6.191
_cell_angle_alpha 53.58
_cell_angle_beta 53.58
_cell_angle_gamma 90.00
_space_group_name_H-M_alt 'P 1'
_space_group_IT_number 1
loop_
_space_group_symop_operation_xyz
'x,y,z'
loop_
_atom_site_label
_atom_site_type_symbol
_atom_site_fract_x
_atom_site_fract_y
_atom_site_fract_z
S1 S 0.875 0.848 0.750
As1 As 0.500 0.500 0.000
Bi1 Bi 0.000 0.000 0.000
As2 As 0.250 0.750 0.500
S2 S 0.152 0.625 0.250
S3 S 0.598 0.125 0.250
S4 S 0.375 0.402 0.750
Bi2 Bi 0.750 0.250 0.500
```

Properties
**Total DFT energy (no corrections)**: -32.704 eV/cell
**Formation energy (no corrections)**: 0.43 eV/f.u.
**Space-group type**: I-42d, No. 122
**Distance to the lowest polymorph of the same formula**: 145 meV per atom


# Bi4AsS5

A relaxed structure of Bi4AsS5 (PBE, the Alexandria database).

Cell and atoms, written as CIF:
```
data_Bi4AsS5
_cell_length_a 4.084
_cell_length_b 8.331
_cell_length_c 9.033
_cell_angle_alpha 78.59
_cell_angle_beta 103.06
_cell_angle_gamma 90.00
_space_group_name_H-M_alt 'P 1'
_space_group_IT_number 1
loop_
_space_group_symop_operation_xyz
'x,y,z'
loop_
_atom_site_label
_atom_site_type_symbol
_atom_site_fract_x
_atom_site_fract_y
_atom_site_fract_z
S1 S 0.161 0.677 0.322
S2 S 0.169 0.142 0.337
As1 As 0.500 0.000 0.000
Bi1 Bi 0.008 0.733 0.016
S3 S 0.500 0.500 0.000
S4 S 0.839 0.323 0.678
Bi2 Bi 0.673 0.903 0.347
S5 S 0.831 0.858 0.663
Bi3 Bi 0.327 0.097 0.653
Bi4 Bi 0.992 0.267 0.984
```

Properties
**Total DFT energy (no corrections)**: -42.394 eV/cell
**Formation energy (no corrections)**: -1.58 eV/f.u.
**Space-group type**: C2/m, No. 12


# Bi2As2S

A relaxed structure of Bi2As2S (PBE, the Alexandria database).

Cell and atoms, written as CIF:
```
data_Bi2As2S
_cell_length_a 3.874
_cell_length_b 3.874
_cell_length_c 8.708
_cell_angle_alpha 77.15
_cell_angle_beta 77.15
_cell_angle_gamma 90.00
_space_group_name_H-M_alt 'P 1'
_space_group_IT_number 1
loop_
_space_group_symop_operation_xyz
'x,y,z'
loop_
_atom_site_label
_atom_site_type_symbol
_atom_site_fract_x
_atom_site_fract_y
_atom_site_fract_z
S1 S 0.000 0.000 0.000
Bi1 Bi 0.596 0.596 0.807
As1 As 0.250 0.750 0.500
As2 As 0.750 0.250 0.500
Bi2 Bi 0.404 0.404 0.193
```

Properties
**Total DFT energy (no corrections)**: -20.417 eV/cell
**Formation energy (no corrections)**: 0.77 eV/f.u.
**Space-group type**: I4/mmm, No. 139


# BiAsS4

A relaxed structure of BiAsS4 (PBE, the Alexandria database).

Cell and atoms, written as CIF:
```
data_BiAsS4
_cell_length_a 5.973
_cell_length_b 5.973
_cell_length_c 9.715
_cell_angle_alpha 90.00
_cell_angle_beta 90.00
_cell_angle_gamma 96.20
_space_group_name_H-M_alt 'P 1'
_space_group_IT_number 1
loop_
_space_group_symop_operation_xyz
'x,y,z'
loop_
_atom_site_label
_atom_site_type_symbol
_atom_site_fract_x
_atom_site_fract_y
_atom_site_fract_z
S1 S 0.675 0.675 0.576
Bi1 Bi 0.420 0.420 0.750
S2 S 0.325 0.325 0.076
S3 S 0.325 0.325 0.424
S4 S 0.218 0.838 0.750
S5 S 0.782 0.162 0.250
S6 S 0.675 0.675 0.924
S7 S 0.162 0.782 0.250
Bi2 Bi 0.580 0.580 0.250
S8 S 0.838 0.218 0.750
As1 As 0.139 0.139 0.250
As2 As 0.861 0.861 0.750
```

Properties
**Total DFT energy (no corrections)**: -50.505 eV/cell
**Formation energy (no corrections)**: -0.21 eV/f.u.
**Space-group type**: Cmcm, No. 63


# Bi3AsS3

A relaxed structure of Bi3AsS3 (PBE, the Alexandria database).

Cell and atoms, written as CIF:
```
data_Bi3AsS3
_cell_length_a 4.125
_cell_length_b 8.474
_cell_length_c 11.679
_cell_angle_alpha 93.31
_cell_angle_beta 90.00
_cell_angle_gamma 90.00
_space_group_name_H-M_alt 'P 1'
_space_group_IT_number 1
loop_
_space_group_symop_operation_xyz
'x,y,z'
loop_
_atom_site_label
_atom_site_type_symbol
_atom_site_fract_x
_atom_site_fract_y
_atom_site_fract_z
S1 S 0.750 0.643 0.621
S2 S 0.750 0.082 0.130
S3 S 0.250 0.918 0.870
Bi1 Bi 0.250 0.859 0.643
Bi2 Bi 0.250 0.843 0.117
Bi3 Bi 0.750 0.141 0.357
As1 As 0.250 0.868 0.372
S4 S 0.750 0.620 0.126
Bi4 Bi 0.750 0.157 0.883
As2 As 0.750 0.132 0.628
Bi5 Bi 0.250 0.369 0.648
S5 S 0.250 0.357 0.379
S6 S 0.250 0.380 0.874
Bi6 Bi 0.750 0.631 0.352
```

Properties
**Total DFT energy (no corrections)**: -60.415 eV/cell
**Formation energy (no corrections)**: -1.53 eV/f.u.
**Space-group type**: P2_1/m, No. 11